(1)
# NiIrPt2I

A geometry-optimized NiIrPt2I structure (PBEsol, Alexandria).

- formation energy without anion corrections (meV/atom) = 1828
- crystal system = tetragonal
- calculated volume (Å³/atom) = 20.41
- total magnetization (μB/cell) = 1.2

a b c (Å): 4.3915 4.8211 4.8211
angles (deg): 90.00 90.00 90.00
Site moments in Bohr magnetons follow the coordinates.
Fractional coordinates of all 5 atoms:
Ir1 0.5000 0.5000 0.5000  0.92
I1 0.0000 0.0000 0.0000  0.01
Pt1 0.0000 0.0000 0.5000  0.04
Pt2 0.0000 0.5000 0.0000  0.04
Ni1 0.5000 0.0000 0.0000  0.17

---

(2)
# IrOsIO2

A geometry-optimized IrOsIO2 structure (PBEsol, Alexandria).

- formation energy without anion corrections (meV/atom) = 203
- crystal system = tetragonal
- calculated volume (Å³/atom) = 16.88
- total magnetization (μB/cell) = 0.0

a b c (Å): 3.7083 3.7083 6.1360
angles (deg): 90.00 90.00 90.00
Fractional coordinates of all 5 atoms:
O1 0.0000 0.5000 0.0000
O2 0.5000 0.0000 0.0000
Os1 0.0000 0.0000 0.0000
Ir1 0.5000 0.5000 0.5000
I1 0.0000 0.0000 0.5000

---

(3)
# IrOsI2O

A geometry-optimized IrOsI2O structure (PBEsol, Alexandria).

- formation energy without anion corrections (meV/atom) = 770
- crystal system = tetragonal
- calculated volume (Å³/atom) = 20.39
- total magnetization (μB/cell) = 0.0

a b c (Å): 3.6217 5.3063 5.3063
angles (deg): 90.00 90.00 90.00
Fractional coordinates of all 5 atoms:
O1 0.5000 0.0000 0.0000
I1 0.0000 0.5000 0.0000
I2 0.0000 0.0000 0.5000
Os1 0.0000 0.0000 0.0000
Ir1 0.5000 0.5000 0.5000

---

(4)
# PIrI2O

A geometry-optimized PIrI2O structure (PBEsol, Alexandria).

- formation energy without anion corrections (meV/atom) = 381
- crystal system = tetragonal
- calculated volume (Å³/atom) = 21.93
- total magnetization (μB/cell) = 0.0

a b c (Å): 3.6944 5.4476 5.4476
angles (deg): 90.00 90.00 90.00
Fractional coordinates of all 5 atoms:
O1 0.5000 0.0000 0.0000
P1 0.5000 0.5000 0.5000
Ir1 0.0000 0.0000 0.0000
I1 0.0000 0.5000 0.0000
I2 0.0000 0.0000 0.5000

---

(5)
# IrPbIO2

A geometry-optimized IrPbIO2 structure (PBEsol, Alexandria).

- formation energy without anion corrections (meV/atom) = 687
- crystal system = tetragonal
- calculated volume (Å³/atom) = 21.62
- total magnetization (μB/cell) = 1.5

a b c (Å): 4.0290 4.0290 6.6591
angles (deg): 90.00 90.00 90.00
Site moments in Bohr magnetons follow the coordinates.
Fractional coordinates of all 5 atoms:
Pb1 0.0000 0.0000 0.0000  0.00
I1 0.0000 0.0000 0.5000  0.03
O1 0.0000 0.5000 0.0000  0.08
O2 0.5000 0.0000 0.0000  0.08
Ir1 0.5000 0.5000 0.5000  1.10

---

(6)
# RbIrI2O

A geometry-optimized RbIrI2O structure (PBEsol, Alexandria).

- formation energy without anion corrections (meV/atom) = -570
- crystal system = tetragonal
- calculated volume (Å³/atom) = 25.71
- total magnetization (μB/cell) = 0.0

a b c (Å): 3.7605 5.8470 5.8470
angles (deg): 90.00 90.00 90.00
Fractional coordinates of all 5 atoms:
Rb1 0.5000 0.5000 0.5000
I1 0.0000 0.0000 0.5000
I2 0.0000 0.5000 0.0000
Ir1 0.0000 0.0000 0.0000
O1 0.5000 0.0000 0.0000

---

Number 3 is which compound? IrOsI2O